Entry 1:
Material: GaReRh2W
Method: DFT, PBEsol
State: relaxed

a b c (Å): 4.588 4.588 4.608
angles (deg): 90.00 90.00 90.00
Fractional positions:
Ga  0.000  0.000  0.000
Re  0.000  0.000  0.500
Rh  0.000  0.500  0.500
Rh  0.500  0.000  0.500
W  0.500  0.500  0.000

Calculated values
The formation energy is 1844 meV/atom. Its space group is P4/mmm.


Entry 2:
Material: SrYPd3
Method: DFT, PBEsol
State: relaxed

a b c (Å): 5.064 5.064 5.064
angles (deg): 90.00 90.00 90.00
Fractional positions:
Sr  0.000  0.000  0.000
Y  0.500  0.500  0.500
Pd  0.000  0.500  0.500
Pd  0.500  0.000  0.500
Pd  0.500  0.500  0.000

Calculated values
The formation energy is -14 meV/atom. Its space group is Pm-3m.


Entry 3:
Material: Ba2ZrSF
Method: DFT, PBEsol
State: relaxed

a b c (Å): 6.117 6.117 4.791
angles (deg): 90.00 90.00 90.00
Fractional positions:
Ba  0.000  0.500  0.000
Ba  0.500  0.000  0.000
Zr  0.000  0.000  0.000
S  0.000  0.000  0.500
F  0.500  0.500  0.500

Calculated values
Its space group is P4/mmm. The uncorrected formation energy comes out at -0.736 eV per atom.


Entry 4:
Material: YCd2Ag
Method: DFT, PBEsol
State: relaxed

a b c (Å): 3.465 3.465 7.125
angles (deg): 90.00 90.00 90.00
Fractional positions:
Y  0.000  0.000  0.000
Cd  0.000  0.000  0.475
Cd  0.500  0.500  0.715
Ag  0.500  0.500  0.257

Calculated values
The formation energy is -213 meV/atom. Its space group is P4mm.


Entry 5:
Material: CdIn2Te
Method: DFT, PBEsol
State: relaxed

a b c (Å): 4.030 4.547 11.639
angles (deg): 90.00 90.00 90.00
Fractional positions:
Cd  0.000  0.000  0.000
Cd  0.500  0.500  0.500
In  0.000  0.000  0.509
In  0.000  0.500  0.714
In  0.500  0.000  0.214
In  0.500  0.500  0.009
Te  0.000  0.500  0.295
Te  0.500  0.000  0.795

Calculated values
As for the offset from the most stable computed form: 0 meV per atom. Its space group is Imm2. The uncorrected formation energy comes out at -0.039 eV per atom.


Entry 6:
Material: Na3TmCl6
Method: DFT, PBEsol
State: relaxed

a b c (Å): 7.334 7.334 7.334
angles (deg): 60.00 60.00 60.00
Fractional positions:
Na  0.000  0.000  0.000
Na  0.250  0.250  0.250
Na  0.750  0.750  0.750
Tm  0.500  0.500  0.500
Cl  0.254  0.254  0.746
Cl  0.254  0.746  0.254
Cl  0.254  0.746  0.746
Cl  0.746  0.254  0.254
Cl  0.746  0.254  0.746
Cl  0.746  0.746  0.254

Calculated values
Its space group is Fm-3m. The uncorrected formation energy comes out at -1.859 eV per atom.


Entry 7:
Material: LiCd2Ir
Method: DFT, PBEsol
State: relaxed

a b c (Å): 4.537 4.537 3.163
angles (deg): 90.00 90.00 90.00
Fractional positions:
Li  0.000  0.000  0.000
Cd  0.000  0.500  0.500
Cd  0.500  0.000  0.500
Ir  0.500  0.500  0.000

Calculated values
The formation energy is -108 meV/atom. Its space group is P4/mmm.


Entry 8:
Material: MgCrIn3
Method: DFT, PBEsol
State: relaxed

a b c (Å): 5.276 5.276 5.276
angles (deg): 90.00 90.00 90.00
Fractional positions:
Mg  0.000  0.000  0.000
Cr  0.500  0.500  0.500
In  0.000  0.000  0.500
In  0.000  0.500  0.000
In  0.500  0.000  0.000

Calculated values
The formation energy is 921 meV/atom. Its space group is Pm-3m.


Entry 9:
Material: ZnAsAu2
Method: DFT, PBEsol
State: relaxed

a b c (Å): 2.870 2.870 8.086
angles (deg): 90.00 90.00 90.00
Fractional positions:
Zn  0.000  0.000  0.000
As  0.000  0.000  0.500
Au  0.500  0.500  0.224
Au  0.500  0.500  0.776

Calculated values
The formation energy is 5 meV/atom. As for the offset from the most stable computed form: 0 meV per atom. Its space group is P4/mmm.


Entry 10:
Material: K2BaAuCl
Method: DFT, PBEsol
State: relaxed

a b c (Å): 7.793 7.793 5.669
angles (deg): 90.00 90.00 90.00
Fractional positions:
K  0.000  0.500  0.000
K  0.500  0.000  0.000
Ba  0.000  0.000  0.000
Au  0.500  0.500  0.500
Cl  0.000  0.000  0.500

Calculated values
Its space group is P4/mmm. The uncorrected formation energy comes out at -0.110 eV per atom.


Entry 11:
Material: ThGe2Os2
Method: DFT, PBEsol
State: relaxed

a b c (Å): 4.261 4.261 9.940
angles (deg): 90.00 90.00 90.00
Fractional positions:
Th  0.000  0.000  0.000
Th  0.500  0.500  0.500
Ge  0.000  0.000  0.372
Ge  0.000  0.000  0.628
Ge  0.500  0.500  0.128
Ge  0.500  0.500  0.872
Os  0.000  0.500  0.250
Os  0.000  0.500  0.750
Os  0.500  0.000  0.250
Os  0.500  0.000  0.750

Calculated values
The formation energy is -466 meV/atom. Its space group is I4/mmm.


Entry 12:
Material: Ce3Zn11
Method: DFT, PBEsol
State: relaxed

a b c (Å): 8.090 8.090 8.090
angles (deg): 148.28 116.26 72.95
Fractional positions:
Ce  0.000  0.000  0.000
Ce  0.291  0.291  0.000
Ce  0.709  0.709  0.000
Zn  0.012  0.655  0.357
Zn  0.144  0.857  0.287
Zn  0.297  0.655  0.643
Zn  0.323  0.500  0.823
Zn  0.430  0.143  0.287
Zn  0.500  0.000  0.500
Zn  0.570  0.857  0.713
Zn  0.677  0.500  0.177
Zn  0.703  0.345  0.357
Zn  0.856  0.143  0.713
Zn  0.988  0.345  0.643

Calculated values
The formation energy is -257 meV/atom. Its space group is Immm.


no.,calculated total energy (eV per atom)
1,-7.508
2,-5.322
3,-4.676
4,-3.345
5,-2.711
6,-3.974
7,-3.654
8,-3.261
9,-3.629
10,-2.180
11,-8.949
12,-2.913